No. 1
Below is a crystal of FeOs relaxed with PBEsol, with properties calculated at the meta-GGA SCAN level.

abc: 4.8206 4.8206 4.4447
angles: 115.99 115.99 31.65
With the nearest neighbours (Å) after each atom.
Element x y z (fractional)
Fe 0.1276 0.1276 0.2949  7 Os 2.53-2.60, 5 Fe 2.54-2.63
Fe 0.8724 0.8724 0.7051  7 Os 2.53-2.60, 5 Fe 2.54-2.63
Os 0.3783 0.3783 0.2070  7 Fe 2.53-2.60, 5 Os 2.55-2.63
Os 0.6217 0.6217 0.7930  7 Fe 2.53-2.60, 5 Os 2.55-2.63

- DOS at the Fermi energy: 0.911 states/eV per atom


No. 2
Below is a crystal of CaRu3Pb relaxed with PBEsol, with properties calculated at the meta-GGA SCAN level.

abc: 4.9472 4.9472 4.9472
angles: 90.00 90.00 90.00
With the nearest neighbours (Å) after each atom.
Element x y z (fractional)
Ca 0.0000 0.0000 0.0000  12 Ru 3.50
Ru 0.0000 0.5000 0.5000  2 Pb 2.47
Ru 0.5000 0.0000 0.5000  2 Pb 2.47
Ru 0.5000 0.5000 0.0000  2 Pb 2.47
Pb 0.5000 0.5000 0.5000  6 Ru 2.47

- DOS at the Fermi energy: 0.785 states/eV per atom


The following uncorrected energy values (in eV/atom) correspond, in order, to the records above: -44.746; -36.426.
The following total magnetic moment values (in μB/atom) correspond, in order, to the records above: 0.001; 0.786.